No. 1
SrVCrTc2 | PBE | optimized geometry

abc: 4.6792 4.4078 4.6792
angles: 90.00 90.00 90.00
Fractional coordinates of all 5 atoms:
Cr1 0.0000 0.5000 0.0000
V1 0.5000 0.5000 0.5000
Sr1 0.0000 0.0000 0.0000
Tc1 0.5000 0.0000 0.0000
Tc2 0.0000 0.0000 0.5000

Computed properties:
SG   P4/mmm, No. 123
Theoretical density   6651 kg/m3
Formation enthalpy at 0 K   2995 meV/atom
DOS at the Fermi energy   8.9 states/eV/cell

No. 2
Ho4Cu2Bi | PBE | optimized geometry

abc: 7.9878 7.9876 7.9810
angles: 108.22 108.24 112.01
Fractional coordinates of all 14 atoms:
Ho1 0.4076 0.0846 0.3230
Ho2 0.7616 0.0847 0.6770
Ho3 0.9155 0.2385 0.3231
Ho4 0.8424 0.6657 0.1773
Ho5 0.4884 0.6650 0.8226
Ho6 0.9153 0.5924 0.6768
Ho7 0.3341 0.1576 0.8226
Ho8 0.3350 0.5115 0.1774
Bi1 0.2501 0.7501 0.5000
Bi2 0.9999 0.9999 0.0000
Cu1 0.6250 0.3747 0.2496
Cu2 0.1250 0.3753 0.7504
Cu3 0.6252 0.3750 0.7502
Cu4 0.6248 0.8750 0.2498

Computed properties:
SG   I4_1/amd, No. 141
Theoretical density   8453 kg/m3
Formation enthalpy at 0 K   -199 meV/atom
DOS at the Fermi energy   5.8 states/eV/cell

No. 3
HoZr2ScN4 | PBE | optimized geometry

abc: 6.5801 6.5804 6.5754
angles: 119.97 119.97 89.98
Fractional coordinates of all 16 atoms:
N1 0.7402 0.2403 0.9902
N2 0.2598 0.7597 0.0098
N3 0.2597 0.7598 0.5098
N4 0.7452 0.7547 0.5002
N5 0.7453 0.7548 0.9998
N6 0.7403 0.2402 0.4902
N7 0.2547 0.2452 0.0002
N8 0.2548 0.2453 0.4998
Zr1 0.5000 0.0000 0.5000
Zr2 0.0000 0.0000 0.5000
Zr3 0.5000 0.0000 0.0000
Zr4 0.5000 0.5000 0.0000
Ho1 0.0000 0.5000 0.5000
Ho2 0.0000 0.5000 0.0000
Sc1 0.0000 0.0000 0.0000
Sc2 0.5000 0.5000 0.5000

Computed properties:
SG   Imma, No. 74
Theoretical density   7389 kg/m3
DOS at the Fermi energy   5.6 states/eV/cell
Calculated total energy   -9.44 eV/atom

No. 4
CsNa2HSe | PBE | optimized geometry

abc: 4.9963 4.9963 5.5267
angles: 90.00 90.00 90.00
Fractional coordinates of all 5 atoms:
Cs1 0.0000 0.0000 0.5000
H1 0.0000 0.0000 0.0000
Se1 0.5000 0.5000 0.5000
Na1 0.5000 0.0000 0.0000
Na2 0.0000 0.5000 0.0000

Computed properties:
SG   P4/mmm, No. 123
Theoretical density   3116 kg/m3
Calculated total energy   -2.56 eV/atom

No. 5
ZnOsPt2 | PBE | optimized geometry

abc: 4.7160 4.7160 4.7160
angles: 130.42 130.42 72.74
Fractional coordinates of all 4 atoms:
Zn1 0.5000 0.5000 0.0000
Pt1 0.2500 0.7500 0.5000
Pt2 0.0000 0.0000 0.0000
Os1 0.7500 0.2500 0.5000

Computed properties:
SG   I-4m2, No. 119
Theoretical density   18056 kg/m3
Formation enthalpy at 0 K   53 meV/atom
DOS at the Fermi energy   3.8 states/eV/cell

No. 6
Ga4PdS2 | PBE | optimized geometry

abc: 4.9481 4.9481 7.4778
angles: 70.68 70.68 90.00
Fractional coordinates of all 7 atoms:
Ga1 0.1808 0.1808 0.6384
Ga2 0.8192 0.8192 0.3616
Ga3 0.0000 0.5000 0.0000
Ga4 0.5000 0.0000 0.0000
S1 0.3454 0.3454 0.3093
S2 0.6546 0.6546 0.6907
Pd1 0.0000 0.0000 0.0000

Computed properties:
SG   I4/mmm, No. 139
Theoretical density   4612 kg/m3
DOS at the Fermi energy   1.5 states/eV/cell
Calculated total energy   -3.91 eV/atom